1.
{
  "formula": "CaY2P",
  "functional": "PBE-GGA",
  "state": "relaxed",
  "e_tot_ev_per_atom": -5.627,
  "formation_enthalpy_0k_ev_per_atom": -0.542,
  "spacegroup": "No. 38",
  "magmom_total_mub_per_fu": 0.9,
  "lattice": [[3.806, 0.000, 0.000], [0.000, 4.314, 0.001], [0.000, 2.155, 7.185]],
  "species": ["Ca", "P", "Y", "Y"],
  "frac_coords": [[0.000, 0.516, 0.593], [0.500, 0.980, 0.666], [0.000, 0.828, 0.969], [0.500, 0.176, 0.272]]
}

2.
{
  "formula": "PPtIO2",
  "functional": "PBE-GGA",
  "state": "relaxed",
  "e_tot_ev_per_atom": -4.136,
  "spacegroup": "No. 123",
  "magmom_total_mub_per_fu": 0.0,
  "raw_formation_energy_kcal_per_mol_atoms": 10.32,
  "de_polymorph_ev_per_atom": 0.533,
  "lattice": [[-0.895, -1.414, -3.444], [-3.040, -1.768, 1.516], [-3.271, 4.699, -1.079]],
  "species": ["I", "P", "O", "O", "Pt"],
  "frac_coords": [[0.000, 0.000, 0.000], [0.000, 0.000, 0.500], [0.000, 0.500, 0.000], [0.500, 0.000, 0.000], [0.500, 0.500, 0.500]]
}

3.
{
  "formula": "KTcIr2",
  "functional": "PBE-GGA",
  "state": "relaxed",
  "e_tot_ev_per_atom": -6.051,
  "formation_enthalpy_0k_ev_per_atom": 1.246,
  "spacegroup": "No. 225",
  "magmom_total_mub_per_fu": 1.9,
  "de_polymorph_ev_per_atom": 0.891,
  "lattice": [[-3.027, 2.343, 2.531], [-3.754, 1.764, -1.963], [-4.122, -1.804, 0.899]],
  "species": ["K", "Ir", "Ir", "Tc"],
  "frac_coords": [[0.000, 0.000, 0.000], [0.250, 0.250, 0.250], [0.750, 0.750, 0.750], [0.500, 0.500, 0.500]]
}

4.
{
  "formula": "ThAl3Pd2",
  "functional": "PBE-GGA",
  "state": "relaxed",
  "e_tot_ev_per_atom": -5.565,
  "formation_enthalpy_0k_ev_per_atom": -0.726,
  "spacegroup": "No. 63",
  "magmom_total_mub_per_fu": 0.0,
  "lattice": [[5.514, 0.000, 0.000], [0.000, 6.427, 0.459], [0.000, -1.688, 6.218]],
  "species": ["Th", "Th", "Al", "Al", "Al", "Al", "Al", "Al", "Pd", "Pd", "Pd", "Pd"],
  "frac_coords": [[0.250, 0.344, 0.344], [0.750, 0.656, 0.656], [0.750, 0.457, 0.103], [0.750, 0.103, 0.457], [0.250, 0.543, 0.897], [0.750, 0.043, 0.043], [0.250, 0.957, 0.957], [0.250, 0.897, 0.543], [0.500, 0.785, 0.215], [0.000, 0.785, 0.215], [0.000, 0.215, 0.785], [0.500, 0.215, 0.785]]
}

5.
{
  "formula": "Sr2ErThP4",
  "functional": "PBE-GGA",
  "state": "relaxed",
  "e_tot_ev_per_atom": -5.889,
  "formation_enthalpy_0k_ev_per_atom": -1.265,
  "spacegroup": "No. 10",
  "magmom_total_mub_per_fu": 0.0,
  "lattice": [[-3.091, 1.675, 2.324], [0.535, -5.490, 4.668], [4.555, 5.456, 2.126]],
  "species": ["Sr", "Sr", "Er", "Th", "P", "P", "P", "P"],
  "frac_coords": [[0.500, 0.000, 0.500], [0.000, 0.500, 0.500], [0.000, 0.000, 0.000], [0.500, 0.500, 0.000], [0.500, 0.236, 0.221], [0.500, 0.764, 0.779], [0.000, 0.255, 0.776], [0.000, 0.745, 0.224]]
}

6.
{
  "formula": "ErAg2SbSe4",
  "functional": "PBE-GGA",
  "state": "relaxed",
  "e_tot_ev_per_atom": -4.206,
  "spacegroup": "No. 10",
  "magmom_total_mub_per_fu": 0.0,
  "raw_formation_energy_kcal_per_mol_atoms": -15.34,
  "lattice": [[4.137, 0.000, 0.000], [0.000, 6.940, -0.048], [0.000, 2.536, 6.728]],
  "species": ["Er", "Ag", "Ag", "Sb", "Se", "Se", "Se", "Se"],
  "frac_coords": [[0.000, 0.500, 0.500], [0.000, 0.000, 0.000], [0.500, 0.000, 0.500], [0.500, 0.500, 0.000], [0.000, 0.751, 0.746], [0.000, 0.249, 0.254], [0.500, 0.745, 0.253], [0.500, 0.255, 0.747]]
}

7.
{
  "formula": "MgAsI2O",
  "functional": "PBE-GGA",
  "state": "relaxed",
  "e_tot_ev_per_atom": -3.088,
  "spacegroup": "No. 123",
  "magmom_total_mub_per_fu": 0.0,
  "raw_formation_energy_kcal_per_mol_atoms": -5.26,
  "de_polymorph_ev_per_atom": 0.038,
  "lattice": [[-4.342, 3.438, -1.495], [-2.175, -0.447, 5.289], [1.994, 2.984, 1.072]],
  "species": ["I", "I", "As", "Mg", "O"],
  "frac_coords": [[0.000, 0.500, 0.000], [0.500, 0.000, 0.000], [0.500, 0.500, 0.500], [0.000, 0.000, 0.000], [0.000, 0.000, 0.500]]
}

8.
{
  "formula": "AlTe2WAu",
  "functional": "PBE-GGA",
  "state": "relaxed",
  "e_tot_ev_per_atom": -3.888,
  "spacegroup": "No. 123",
  "magmom_total_mub_per_fu": 3.0,
  "raw_formation_energy_kcal_per_mol_atoms": 31.45,
  "lattice": [[5.188, 0.000, 0.000], [0.000, 4.949, 0.000], [0.000, 0.000, 5.188]],
  "species": ["Te", "Te", "Au", "Al", "W"],
  "frac_coords": [[0.000, 0.000, 0.500], [0.500, 0.000, 0.000], [0.500, 0.500, 0.500], [0.000, 0.000, 0.000], [0.000, 0.500, 0.000]]
}

9.
{
  "formula": "LaNd2Bi",
  "functional": "PBE-GGA",
  "state": "relaxed",
  "e_tot_ev_per_atom": -5.049,
  "formation_enthalpy_0k_ev_per_atom": -0.463,
  "spacegroup": "No. 123",
  "magmom_total_mub_per_fu": 0.0,
  "de_polymorph_ev_per_atom": 0.000,
  "lattice": [[-0.609, -2.675, -4.121], [3.828, -3.011, 1.388], [-3.256, -3.015, 2.439]],
  "species": ["Nd", "Nd", "Bi", "La"],
  "frac_coords": [[0.000, 0.000, 0.500], [0.000, 0.500, 0.000], [0.500, 0.000, 0.000], [0.500, 0.500, 0.500]]
}

10.
{
  "formula": "Np2Ge2Au3",
  "functional": "PBE-GGA",
  "state": "relaxed",
  "e_tot_ev_per_atom": -6.600,
  "formation_enthalpy_0k_ev_per_atom": -0.179,
  "spacegroup": "No. 10",
  "magmom_total_mub_per_fu": 8.5,
  "lattice": [[4.467, 0.000, 1.048], [0.000, 2.984, 0.000], [-0.182, 0.000, 10.656]],
  "species": ["Np", "Np", "Ge", "Ge", "Au", "Au", "Au"],
  "frac_coords": [[0.144, 0.500, 0.715], [0.856, 0.500, 0.285], [0.425, 0.000, 0.146], [0.575, 0.000, 0.854], [0.286, 0.000, 0.426], [0.000, 0.000, 0.000], [0.714, 0.000, 0.574]]
}

11.
{
  "formula": "MgAg2Ir",
  "functional": "PBE-GGA",
  "state": "relaxed",
  "e_tot_ev_per_atom": -3.972,
  "formation_enthalpy_0k_ev_per_atom": 0.067,
  "spacegroup": "No. 216",
  "magmom_total_mub_per_fu": 0.0,
  "lattice": [[-2.555, 3.702, 0.736], [-3.346, 1.074, -2.904], [-4.354, -0.452, 1.272]],
  "species": ["Ag", "Ag", "Ir", "Mg"],
  "frac_coords": [[0.000, 0.000, 0.000], [0.250, 0.250, 0.250], [0.500, 0.500, 0.500], [0.750, 0.750, 0.750]]
}

12.
{
  "formula": "Fe2NiSnRh",
  "functional": "PBE-GGA",
  "state": "relaxed",
  "e_tot_ev_per_atom": -5.712,
  "formation_enthalpy_0k_ev_per_atom": 1.100,
  "spacegroup": "No. 123",
  "magmom_total_mub_per_fu": 7.7,
  "lattice": [[-3.250, -1.358, -3.012], [-2.962, -0.677, 3.500], [-1.554, 4.642, -0.417]],
  "species": ["Ni", "Rh", "Sn", "Fe", "Fe"],
  "frac_coords": [[0.500, 0.500, 0.500], [0.000, 0.000, 0.000], [0.000, 0.000, 0.500], [0.000, 0.500, 0.000], [0.500, 0.000, 0.000]]
}

13.
{
  "formula": "SrBeAsH",
  "functional": "PBE-GGA",
  "state": "relaxed",
  "e_tot_ev_per_atom": -4.084,
  "spacegroup": "No. 156",
  "magmom_total_mub_per_fu": 0.0,
  "lattice": [[-2.800, -2.826, -0.491], [3.878, -1.012, 0.068], [-0.234, -0.583, 4.688]],
  "species": ["Sr", "Be", "As", "H"],
  "frac_coords": [[0.905, 0.811, 0.788], [0.238, 0.477, 0.221], [0.572, 0.144, 0.321], [0.239, 0.477, 0.910]]
}

14.
{
  "formula": "AlAg2P",
  "functional": "PBE-GGA",
  "state": "relaxed",
  "e_tot_ev_per_atom": -3.564,
  "formation_enthalpy_0k_ev_per_atom": 0.149,
  "spacegroup": "No. 139",
  "magmom_total_mub_per_fu": 0.0,
  "de_polymorph_ev_per_atom": 0.062,
  "lattice": [[5.221, 0.001, -0.009], [2.270, 4.701, 0.009], [-3.738, -2.363, 2.775]],
  "species": ["P", "Al", "Ag", "Ag"],
  "frac_coords": [[0.250, 0.750, 0.500], [0.750, 0.250, 0.500], [0.000, 0.000, 0.000], [0.500, 0.500, 0.000]]
}

15.
{
  "formula": "PuTl2Pb",
  "functional": "PBE-GGA",
  "state": "relaxed",
  "e_tot_ev_per_atom": -5.654,
  "formation_enthalpy_0k_ev_per_atom": 0.039,
  "spacegroup": "No. 123",
  "magmom_total_mub_per_fu": 6.2,
  "de_polymorph_ev_per_atom": 0.124,
  "lattice": [[-2.456, 2.078, -2.342], [-2.887, -0.351, 2.716], [2.224, 6.196, 3.165]],
  "species": ["Pb", "Tl", "Tl", "Pu"],
  "frac_coords": [[0.500, 0.500, 0.000], [0.000, 0.000, 0.755], [0.000, 0.000, 0.245], [0.500, 0.500, 0.500]]
}

16.
{
  "formula": "CdTeO2F",
  "functional": "PBE-GGA",
  "state": "relaxed",
  "e_tot_ev_per_atom": -3.456,
  "spacegroup": "No. 123",
  "magmom_total_mub_per_fu": 0.0,
  "raw_formation_energy_kcal_per_mol_atoms": -6.63,
  "lattice": [[4.300, 0.000, 0.000], [0.000, 4.300, 0.000], [0.000, 0.000, 4.244]],
  "species": ["F", "Te", "O", "O", "Cd"],
  "frac_coords": [[0.000, 0.000, 0.500], [0.500, 0.500, 0.500], [0.000, 0.500, 0.000], [0.500, 0.000, 0.000], [0.000, 0.000, 0.000]]
}

17.
{
  "formula": "Y3AlN",
  "functional": "PBE-GGA",
  "state": "relaxed",
  "e_tot_ev_per_atom": -5.437,
  "spacegroup": "No. 119",
  "magmom_total_mub_per_fu": 0.3,
  "raw_formation_energy_kcal_per_mol_atoms": 19.71,
  "lattice": [[-4.223, -0.777, -3.060], [2.515, -3.918, -2.475], [-4.885, -9.615, 4.641]],
  "species": ["Y", "Y", "Y", "Y", "Y", "Y", "Al", "Al", "N", "N"],
  "frac_coords": [[0.107, 0.871, 0.258], [0.129, 0.893, 0.742], [0.129, 0.366, 0.742], [0.634, 0.871, 0.258], [0.300, 0.300, 0.401], [0.700, 0.700, 0.599], [0.000, 0.000, 0.000], [0.250, 0.750, 0.500], [0.657, 0.157, 0.686], [0.843, 0.343, 0.314]]
}

18.
{
  "formula": "TlFe3Te3",
  "functional": "PBE-GGA",
  "state": "relaxed",
  "e_tot_ev_per_atom": -5.441,
  "spacegroup": "No. 176",
  "magmom_total_mub_per_fu": 6.2,
  "raw_formation_energy_kcal_per_mol_atoms": -2.98,
  "lattice": [[4.716, -8.168, 0.000], [4.716, 8.168, 0.000], [0.000, 0.000, 4.251]],
  "species": ["Tl", "Tl", "Fe", "Fe", "Fe", "Fe", "Fe", "Fe", "Te", "Te", "Te", "Te", "Te", "Te"],
  "frac_coords": [[0.667, 0.333, 0.250], [0.333, 0.667, 0.750], [0.162, 0.142, 0.250], [0.020, 0.162, 0.750], [0.142, 0.980, 0.750], [0.858, 0.020, 0.250], [0.980, 0.838, 0.250], [0.838, 0.858, 0.750], [0.043, 0.346, 0.250], [0.697, 0.043, 0.750], [0.346, 0.303, 0.750], [0.654, 0.697, 0.250], [0.303, 0.957, 0.250], [0.957, 0.654, 0.750]]
}

19.
{
  "formula": "LaCeIr",
  "functional": "PBE-GGA",
  "state": "relaxed",
  "e_tot_ev_per_atom": -7.101,
  "formation_enthalpy_0k_ev_per_atom": -0.527,
  "spacegroup": "No. 11",
  "magmom_total_mub_per_fu": 0.0,
  "de_polymorph_ev_per_atom": 0.011,
  "lattice": [[-1.034, 3.196, 2.408], [0.062, -2.662, 3.560], [7.921, 2.225, 1.526]],
  "species": ["La", "La", "Ce", "Ce", "Ir", "Ir"],
  "frac_coords": [[0.796, 0.866, 0.560], [0.332, 0.367, 0.279], [0.856, 0.366, 0.894], [0.271, 0.866, 0.945], [0.810, 0.866, 0.191], [0.317, 0.366, 0.648]]
}

20.
{
  "formula": "PrHo3Tm",
  "functional": "PBE-GGA",
  "state": "relaxed",
  "e_tot_ev_per_atom": -4.582,
  "formation_enthalpy_0k_ev_per_atom": 0.015,
  "spacegroup": "No. 11",
  "magmom_total_mub_per_fu": 0.0,
  "de_polymorph_ev_per_atom": 0.000,
  "lattice": [[9.508, 0.000, -1.201], [0.000, 5.658, 0.000], [-1.282, 0.000, 6.146]],
  "species": ["Pr", "Pr", "Ho", "Ho", "Ho", "Ho", "Ho", "Ho", "Tm", "Tm"],
  "frac_coords": [[0.200, 0.450, 0.431], [0.800, 0.950, 0.569], [0.204, 0.950, 0.770], [0.001, 0.450, 0.836], [0.597, 0.450, 0.635], [0.403, 0.950, 0.365], [0.999, 0.950, 0.164], [0.796, 0.450, 0.230], [0.598, 0.950, 0.966], [0.402, 0.450, 0.034]]
}